# Ti8Bi2As

An optimized crystal structure of Ti8Bi2As (PBE-GGA, Alexandria via LeMat-Bulk).

Cell: 15.812 4.811 5.234 Å, 90.00 94.17 90.00°
Space group C2/m (No. 12)
Inequivalent atoms, fractional coordinates:
Ti 0.043 0.000 0.254 (multiplicity 4)
Ti 0.086 0.500 0.538 (multiplicity 4)
Ti 0.165 0.500 0.106 (multiplicity 4)
Ti 0.234 0.000 0.334 (multiplicity 4)
Bi 0.151 0.000 0.792 (multiplicity 4)
As 0.000 0.500 0.000 (multiplicity 2)

Output
Final energy (eV per atom): -7.0948



# TaTiVAs2

An optimized crystal structure of TaTiVAs2 (PBE-GGA, Alexandria via LeMat-Bulk).

Cell: 4.825 4.825 4.050 Å, 90.00 90.00 90.00°
Space group P4/mmm (No. 123)
Inequivalent atoms, fractional coordinates:
Ta 0.000 0.000 0.000 (multiplicity 1)
Ti 0.500 0.500 0.500 (multiplicity 1)
V 0.500 0.500 0.000 (multiplicity 1)
As 0.000 0.500 0.500 (multiplicity 2)

Output
Final energy (eV per atom): -6.7687
E above lowest polymorph (eV per formula unit): 0.000



# Ho3ScAs4

An optimized crystal structure of Ho3ScAs4 (PBE-GGA, Alexandria via LeMat-Bulk).

Cell: 8.094 11.448 4.051 Å, 90.00 90.00 90.00°
Space group Cmmm (No. 65)
Inequivalent atoms, fractional coordinates:
Ho 0.000 0.000 0.000 (multiplicity 2)
Ho 0.250 0.250 0.500 (multiplicity 4)
Sc 0.000 0.500 0.000 (multiplicity 2)
As 0.000 0.254 0.000 (multiplicity 4)
As 0.241 0.500 0.500 (multiplicity 4)

Output
Final energy (eV per atom): -6.3101
E above lowest polymorph (eV per formula unit): 0.000



# DyThHgIr

An optimized crystal structure of DyThHgIr (PBE-GGA, Alexandria via LeMat-Bulk).

Cell: 7.280 7.280 7.280 Å, 90.00 90.00 90.00°
Space group F-43m (No. 216)
Inequivalent atoms, fractional coordinates:
Dy 0.000 0.000 0.000 (multiplicity 4)
Th 0.000 0.000 0.500 (multiplicity 4)
Hg 0.250 0.250 0.750 (multiplicity 4)
Ir 0.250 0.250 0.250 (multiplicity 4)

Output
Final energy (eV per atom): -5.7873
E above lowest polymorph (eV per formula unit): 0.611



# RbTe3Pd3

An optimized crystal structure of RbTe3Pd3 (PBE-GGA, Alexandria via LeMat-Bulk).

Cell: 7.475 7.475 7.475 Å, 90.00 90.00 90.00°
Space group Pm-3n (No. 223)
Inequivalent atoms, fractional coordinates:
Rb 0.000 0.000 0.000 (multiplicity 2)
Te 0.000 0.250 0.500 (multiplicity 6)
Pd 0.000 0.500 0.250 (multiplicity 6)

Output
Final energy (eV per atom): -4.1484
E above lowest polymorph (eV per formula unit): 0.000
Formation energy (no corrections) (eV per formula unit): -3.07



# CsNa2BiBr6

An optimized crystal structure of CsNa2BiBr6 (PBE-GGA, Alexandria via LeMat-Bulk).

Cell: 7.7867 7.7867 21.2757 Å, 90.00 90.00 120.00°
Space group R3 (No. 146, hexagonal axes)
Inequivalent atoms, fractional coordinates:
Cs 0.0000 0.0000 0.0000 (multiplicity 3)
Na 0.0000 0.0000 0.2702 (multiplicity 3)
Na 0.0000 0.0000 0.7934 (multiplicity 3)
Bi 0.0000 0.0000 0.4638 (multiplicity 3)
Br 0.0074 0.3396 0.2010 (multiplicity 9)
Br 0.0170 0.5701 0.0432 (multiplicity 9)

Output
Final energy (eV per atom): -3.0249
Formation energy (no corrections) (eV per formula unit): -12.84



# PrCdNiRh

An optimized crystal structure of PrCdNiRh (PBE-GGA, Alexandria via LeMat-Bulk).

Cell: 6.755 6.755 6.755 Å, 90.00 90.00 90.00°
Space group F-43m (No. 216)
Inequivalent atoms, fractional coordinates:
Pr 0.000 0.000 0.000 (multiplicity 4)
Cd 0.000 0.000 0.500 (multiplicity 4)
Ni 0.250 0.250 0.250 (multiplicity 4)
Rh 0.250 0.250 0.750 (multiplicity 4)

Output
Final energy (eV per atom): -4.9545



# Ac5Sn2Sb

An optimized crystal structure of Ac5Sn2Sb (PBE-GGA, Alexandria via LeMat-Bulk).

Cell: 8.904 8.904 15.021 Å, 90.00 90.00 90.00°
Space group I4/mcm (No. 140)
Inequivalent atoms, fractional coordinates:
Ac 0.000 0.000 0.000 (multiplicity 4)
Ac 0.162 0.338 0.149 (multiplicity 16)
Sn 0.136 0.364 0.500 (multiplicity 8)
Sb 0.000 0.000 0.250 (multiplicity 4)

Output
Final energy (eV per atom): -4.7427
Formation energy (no corrections) (eV per formula unit): -5.27



Repeat the third record exactly.
# Ho3ScAs4

An optimized crystal structure of Ho3ScAs4 (PBE-GGA, Alexandria via LeMat-Bulk).

Cell: 8.094 11.448 4.051 Å, 90.00 90.00 90.00°
Space group Cmmm (No. 65)
Inequivalent atoms, fractional coordinates:
Ho 0.000 0.000 0.000 (multiplicity 2)
Ho 0.250 0.250 0.500 (multiplicity 4)
Sc 0.000 0.500 0.000 (multiplicity 2)
As 0.000 0.254 0.000 (multiplicity 4)
As 0.241 0.500 0.500 (multiplicity 4)

Output
Final energy (eV per atom): -6.3101
E above lowest polymorph (eV per formula unit): 0.000